# Tb3MgHg12

A geometry-optimized Tb3MgHg12 structure (PBE, Alexandria).

Lattice parameters (Å, degrees): 4.6406 4.6406 17.9486 90.00 90.00 90.00
Space group P4/mmm (No. 123)
Symmetry-distinct sites (fractional):
Tb (0.0000, 0.0000, 0.0000) [1 per cell]
Tb (0.0000, 0.0000, 0.2615) [2 per cell]
Mg (0.0000, 0.0000, 0.5000) [1 per cell]
Hg (0.0000, 0.5000, 0.1278) [4 per cell]
Hg (0.0000, 0.5000, 0.3815) [4 per cell]
Hg (0.5000, 0.5000, 0.0000) [1 per cell]
Hg (0.5000, 0.5000, 0.2533) [2 per cell]
Hg (0.5000, 0.5000, 0.5000) [1 per cell]

ρ, g cm⁻³: 12.493
DFT formation energy, meV/atom: -272.5
DFT total energy, eV/cell: -23.47
Volume, Å³ per cell: 386.53
Density of states at the Fermi level, states/eV/f.u.: 9.55

# Tb2Mg2Hg3

A geometry-optimized Tb2Mg2Hg3 structure (PBE, Alexandria).

Lattice parameters (Å, degrees): 3.6050 27.0259 3.6312 90.00 90.00 90.00
Space group Cmmm (No. 65)
Symmetry-distinct sites (fractional):
Tb (0.0000, 0.0718, 0.0000) [4 per cell]
Mg (0.0000, 0.2032, 0.0000) [4 per cell]
Hg (0.0000, 0.3569, 0.5000) [4 per cell]
Hg (0.0000, 0.5000, 0.5000) [2 per cell]

ρ, g cm⁻³: 9.089
DFT formation energy, meV/atom: -291.6
DFT total energy, eV/cell: -30.79
Volume, Å³ per cell: 353.78
Density of states at the Fermi level, states/eV/f.u.: 5.76

# TbMg2Hg8

A geometry-optimized TbMg2Hg8 structure (PBE, Alexandria).

Lattice parameters (Å, degrees): 15.6577 4.8493 8.1381 90.00 121.29 90.00
Space group C2/m (No. 12)
Symmetry-distinct sites (fractional):
Tb (0.0000, 0.0000, 0.0000) [2 per cell]
Mg (0.2159, 0.5000, 0.7148) [4 per cell]
Hg (0.0008, 0.5000, 0.6853) [4 per cell]
Hg (0.1443, 0.0000, 0.4494) [4 per cell]
Hg (0.1458, 0.0000, 0.8424) [4 per cell]
Hg (0.1522, 0.5000, 0.1537) [4 per cell]

ρ, g cm⁻³: 11.398
DFT formation energy, meV/atom: -184.6
DFT total energy, eV/cell: -24.53
Volume, Å³ per cell: 528.05
Density of states at the Fermi level, states/eV/f.u.: 4.23

# TbMgHg

A geometry-optimized TbMgHg structure (PBE, Alexandria).

Lattice parameters (Å, degrees): 4.9547 4.9547 3.4829 90.00 90.00 120.00
Space group P3m1 (No. 156)
Symmetry-distinct sites (fractional):
Tb (0.0000, 0.0000, 0.0000) [1 per cell]
Mg (0.3333, 0.6667, 0.4993) [1 per cell]
Hg (0.6667, 0.3333, 0.5012) [1 per cell]

ρ, g cm⁻³: 8.608
DFT formation energy, meV/atom: -318.0
DFT total energy, eV/cell: -7.48
Volume, Å³ per cell: 74.05
Density of states at the Fermi level, states/eV/f.u.: 3.29

# TbMgHg2

A geometry-optimized TbMgHg2 structure (PBE, Alexandria).

Lattice parameters (Å, degrees): 5.0616 5.0616 3.7486 90.00 90.00 90.00
Space group P4/mmm (No. 123)
Symmetry-distinct sites (fractional):
Tb (0.0000, 0.0000, 0.0000) [1 per cell]
Mg (0.5000, 0.5000, 0.0000) [1 per cell]
Hg (0.0000, 0.5000, 0.5000) [2 per cell]

ρ, g cm⁻³: 10.105
DFT formation energy, meV/atom: -390.6
DFT total energy, eV/cell: -8.39
Volume, Å³ per cell: 96.04
Excess energy over the best structure of this formula in the dataset, meV per atom: 70
Density of states at the Fermi level, states/eV/f.u.: 1.56

# Tb2MgHg5

A geometry-optimized Tb2MgHg5 structure (PBE, Alexandria).

Lattice parameters (Å, degrees): 5.0218 5.0218 15.2629 90.00 90.00 90.00
Space group I4/mmm (No. 139)
Symmetry-distinct sites (fractional):
Tb (0.0000, 0.0000, 0.2466) [4 per cell]
Mg (0.0000, 0.0000, 0.5000) [2 per cell]
Hg (0.0000, 0.0000, 0.0000) [2 per cell]
Hg (0.0000, 0.5000, 0.1211) [8 per cell]

ρ, g cm⁻³: 11.606
DFT formation energy, meV/atom: -303.3
DFT total energy, eV/cell: -29.58
Volume, Å³ per cell: 384.91
Density of states at the Fermi level, states/eV/f.u.: 3.93

# Tb2MgHg8

A geometry-optimized Tb2MgHg8 structure (PBE, Alexandria).

Lattice parameters (Å, degrees): 4.6102 4.6102 12.8255 90.00 90.00 90.00
Space group P4/mmm (No. 123)
Symmetry-distinct sites (fractional):
Tb (0.0000, 0.0000, 0.1866) [2 per cell]
Mg (0.0000, 0.0000, 0.5000) [1 per cell]
Hg (0.0000, 0.5000, 0.0000) [2 per cell]
Hg (0.0000, 0.5000, 0.3634) [4 per cell]
Hg (0.5000, 0.5000, 0.1807) [2 per cell]

ρ, g cm⁻³: 11.860
DFT formation energy, meV/atom: -269.4
DFT total energy, eV/cell: -16.23
Volume, Å³ per cell: 272.59
Excess energy over the best structure of this formula in the dataset, meV per atom: 0
Density of states at the Fermi level, states/eV/f.u.: 7.04

# TbMg2Hg

A geometry-optimized TbMg2Hg structure (PBE, Alexandria).

Lattice parameters (Å, degrees): 4.4630 4.4630 4.8765 90.00 90.00 90.00
Space group P4/mmm (No. 123)
Symmetry-distinct sites (fractional):
Tb (0.0000, 0.0000, 0.0000) [1 per cell]
Mg (0.0000, 0.5000, 0.5000) [2 per cell]
Hg (0.5000, 0.5000, 0.0000) [1 per cell]

ρ, g cm⁻³: 6.977
DFT formation energy, meV/atom: -245.3
DFT total energy, eV/cell: -9.10
Volume, Å³ per cell: 97.13
Excess energy over the best structure of this formula in the dataset, meV per atom: 28
Density of states at the Fermi level, states/eV/f.u.: 2.15

# Tb2MgHg3

A geometry-optimized Tb2MgHg3 structure (PBE, Alexandria).

Lattice parameters (Å, degrees): 3.6649 3.6649 10.9209 90.00 90.00 90.00
Space group P4/mmm (No. 123)
Symmetry-distinct sites (fractional):
Tb (0.0000, 0.0000, 0.1747) [2 per cell]
Mg (0.0000, 0.0000, 0.5000) [1 per cell]
Hg (0.5000, 0.5000, 0.0000) [1 per cell]
Hg (0.5000, 0.5000, 0.3464) [2 per cell]

ρ, g cm⁻³: 10.686
DFT formation energy, meV/atom: -418.0
DFT total energy, eV/cell: -14.27
Volume, Å³ per cell: 146.68
Excess energy over the best structure of this formula in the dataset, meV per atom: 48
Density of states at the Fermi level, states/eV/f.u.: 3.08

# Tb6Mg2Hg

A geometry-optimized Tb6Mg2Hg structure (PBE, Alexandria).

Lattice parameters (Å, degrees): 6.2941 9.4821 10.1766 90.00 117.10 90.00
Space group P2_1/c (No. 14)
Symmetry-distinct sites (fractional):
Tb (0.0653, 0.1681, 0.4665) [4 per cell]
Tb (0.3556, 0.6929, 0.4329) [4 per cell]
Tb (0.4297, 0.0393, 0.3088) [4 per cell]
Mg (0.1400, 0.1011, 0.7763) [4 per cell]
Hg (0.0000, 0.0000, 0.0000) [2 per cell]

ρ, g cm⁻³: 7.388
DFT formation energy, meV/atom: 7.5
DFT total energy, eV/cell: -62.41
Volume, Å³ per cell: 540.69
Density of states at the Fermi level, states/eV/f.u.: 10.26

# TbMg2Hg9

A geometry-optimized TbMg2Hg9 structure (PBE, Alexandria).

Lattice parameters (Å, degrees): 4.6374 4.6374 13.1588 90.00 90.00 90.00
Space group P4/mmm (No. 123)
Symmetry-distinct sites (fractional):
Tb (0.0000, 0.0000, 0.0000) [1 per cell]
Mg (0.0000, 0.0000, 0.3378) [2 per cell]
Hg (0.0000, 0.5000, 0.1735) [4 per cell]
Hg (0.0000, 0.5000, 0.5000) [2 per cell]
Hg (0.5000, 0.5000, 0.0000) [1 per cell]
Hg (0.5000, 0.5000, 0.3378) [2 per cell]

ρ, g cm⁻³: 11.811
DFT formation energy, meV/atom: -164.1
DFT total energy, eV/cell: -12.50
Volume, Å³ per cell: 282.99
Density of states at the Fermi level, states/eV/f.u.: 5.21

# Tb4MgHg5

A geometry-optimized Tb4MgHg5 structure (PBE, Alexandria).

Lattice parameters (Å, degrees): 3.6897 3.6897 18.4424 90.00 90.00 90.00
Space group P4/mmm (No. 123)
Symmetry-distinct sites (fractional):
Tb (0.0000, 0.0000, 0.1032) [2 per cell]
Tb (0.0000, 0.0000, 0.3085) [2 per cell]
Mg (0.0000, 0.0000, 0.5000) [1 per cell]
Hg (0.5000, 0.5000, 0.0000) [1 per cell]
Hg (0.5000, 0.5000, 0.2043) [2 per cell]
Hg (0.5000, 0.5000, 0.4097) [2 per cell]

ρ, g cm⁻³: 10.999
DFT formation energy, meV/atom: -440.8
DFT total energy, eV/cell: -26.03
Volume, Å³ per cell: 251.07
Density of states at the Fermi level, states/eV/f.u.: 8.30